This record from the Alexandria database describes a geometry-optimized Na2W2O7 structure. The functional is PBE with a Hubbard U.

Calculated values
Energy relative to the lowest polymorph listed for this composition (eV/atom): 0.0220
SG: No. 64
Final energy (Ry/atom): -0.4931

The structure in POSCAR format:
```
Na2W2O7
1.0
3.690 -6.051 0.000
3.690 6.051 0.000
0.000 0.000 15.042
Na W O
8 8 28
Direct
0.166 0.834 0.846
0.250 0.250 0.000
0.250 0.250 0.500
0.334 0.666 0.346
0.666 0.334 0.654
0.750 0.750 0.000
0.750 0.750 0.500
0.834 0.166 0.154
0.160 0.340 0.750
0.247 0.753 0.087
0.253 0.747 0.587
0.340 0.160 0.250
0.660 0.840 0.750
0.747 0.253 0.413
0.753 0.247 0.913
0.840 0.660 0.250
0.030 0.563 0.157
0.063 0.530 0.657
0.123 0.877 0.531
0.125 0.875 0.282
0.140 0.860 0.003
0.198 0.206 0.161
0.206 0.198 0.839
0.294 0.302 0.339
0.302 0.294 0.661
0.360 0.640 0.503
0.375 0.625 0.782
0.377 0.623 0.031
0.437 0.970 0.157
0.470 0.937 0.657
0.530 0.063 0.343
0.563 0.030 0.843
0.623 0.377 0.969
0.625 0.375 0.218
0.640 0.360 0.497
0.698 0.706 0.339
0.706 0.698 0.661
0.794 0.802 0.161
0.802 0.794 0.839
0.860 0.140 0.997
0.875 0.125 0.718
0.877 0.123 0.469
0.937 0.470 0.343
0.970 0.437 0.843
```